# Th6OsPt3Rh2

A geometry-optimized Th6OsPt3Rh2 structure (PBE, the Alexandria database).

Cell lengths 4.146, 8.338, 9.298 Å; angles 103.27, 102.88, 90.00 degrees
Positions (direct):
Th (0.338, 0.913, 0.676)
Th (0.669, 0.579, 0.337)
Th (0.662, 0.087, 0.324)
Th (0.001, 0.240, 0.002)
Th (0.999, 0.760, 0.998)
Th (0.331, 0.421, 0.663)
Os (0.500, 0.000, 0.000)
Pt (0.500, 0.500, 0.000)
Pt (0.831, 0.167, 0.662)
Pt (0.169, 0.833, 0.338)
Rh (0.832, 0.663, 0.664)
Rh (0.168, 0.337, 0.336)

Spin magnetization: 0.00 μB/atom
ΔH_f (0 K): -11.8 eV per formula unit
Total DFT energy (no corrections): -100.3 eV for the cell shown



# Th6OsPt2Rh3

A geometry-optimized Th6OsPt2Rh3 structure (PBE, the Alexandria database).

Cell lengths 4.132, 8.299, 9.250 Å; angles 103.11, 102.91, 90.00 degrees
Positions (direct):
Th (0.337, 0.923, 0.674)
Th (0.664, 0.589, 0.327)
Th (0.663, 0.077, 0.326)
Th (0.998, 0.242, 0.995)
Th (0.002, 0.758, 0.005)
Th (0.336, 0.411, 0.673)
Os (0.500, 0.000, 0.000)
Pt (0.832, 0.662, 0.663)
Pt (0.168, 0.338, 0.337)
Rh (0.500, 0.500, 0.000)
Rh (0.829, 0.166, 0.658)
Rh (0.171, 0.834, 0.342)

Spin magnetization: 0.00 μB/atom
ΔH_f (0 K): -11.0 eV per formula unit
Total DFT energy (no corrections): -100.9 eV for the cell shown



# VOsPtRh2

A geometry-optimized VOsPtRh2 structure (PBE, the Alexandria database).

Cell lengths 4.646, 4.848, 4.646 Å; angles 90.00, 90.00, 90.00 degrees
Last column: magnetic moment on the atom in μB.
Positions (direct):
Rh (0.000, 0.000, 0.500)  -0.04
Rh (0.500, 0.000, 0.000)  -0.04
Os (0.000, 0.000, 0.000)  0.03
Pt (0.000, 0.500, 0.000)  0.11
V (0.500, 0.500, 0.500)  -0.09

Spin magnetization: 0.00 μB/atom
ΔH_f (0 K): 8.0 eV per formula unit
Total DFT energy (no corrections): -33.1 eV for the cell shown



# YOs2PtRh

A geometry-optimized YOs2PtRh structure (PBE, the Alexandria database).

Cell lengths 4.860, 4.740, 4.860 Å; angles 90.00, 90.00, 90.00 degrees
Last column: magnetic moment on the atom in μB.
Positions (direct):
Y (0.000, 0.000, 0.000)  -0.10
Rh (0.000, 0.500, 0.000)  0.68
Os (0.000, 0.000, 0.500)  1.29
Os (0.500, 0.000, 0.000)  1.44
Pt (0.500, 0.500, 0.500)  0.30

Spin magnetization: 0.74 μB/atom
ΔH_f (0 K): 12.8 eV per formula unit
Total DFT energy (no corrections): -29.5 eV for the cell shown